1.
Hf2ReAu | PBE-GGA | optimized geometry

As for the energy relative to the elements: 0.078 eV/atom. The value obtained for the total energy is -8.822 eV/atom. The calculation puts the total magnetization at 0.0 μB/f.u.

The space group is F-43m (No. 216) and the conventional cell measures 6.611, 6.611 and 6.611 Å, with angles of 90.00, 90.00 and 90.00 degrees. The inequivalent atoms are Hf at (0.000, 0.000, 0.000), Hf at (0.250, 0.250, 0.250), Re at (0.000, 0.000, 0.500) and Au at (0.250, 0.250, 0.750).

2.
MgScFeSb | PBE-GGA | optimized geometry

The value obtained for the total energy is -5.079 eV/atom. The value obtained for the energy above the most stable polymorph in this dataset is 80 meV per atom. The calculation puts the total magnetization at 1.6 μB/f.u.

The space group is F-43m (No. 216) and the conventional cell measures 6.617, 6.617 and 6.617 Å, with angles of 90.00, 90.00 and 90.00 degrees. The inequivalent atoms are Mg at (0.000, 0.000, 0.000), Sc at (0.250, 0.250, 0.750), Fe at (0.250, 0.250, 0.250) and Sb at (0.000, 0.000, 0.500).

3.
Y2HoEr3AgTe2 | PBE-GGA | optimized geometry

The value obtained for the total energy is -5.126 eV/atom. The calculation puts the total magnetization at 0.0 μB/f.u.

The space group is Amm2 (No. 38) and the conventional cell measures 3.972, 14.614 and 8.413 Å, with angles of 90.00, 90.00 and 90.00 degrees. The inequivalent atoms are Y at (0.000, 0.201, 0.000), Ho at (0.000, 0.000, 0.397), Er at (0.500, 0.000, 0.054), Er at (0.500, 0.126, 0.672), Ag at (0.000, 0.000, 0.799) and Te at (0.500, 0.167, 0.299).

4.
LiCoCuRe | PBE-GGA | optimized geometry

The value obtained for the total energy is -5.649 eV/atom. The value obtained for the energy above the most stable polymorph in this dataset is 396 meV per atom. The calculation puts the total magnetization at 0.0 μB/f.u.

The space group is F-43m (No. 216) and the conventional cell measures 5.723, 5.723 and 5.723 Å, with angles of 90.00, 90.00 and 90.00 degrees. The inequivalent atoms are Li at (0.000, 0.000, 0.000), Co at (0.250, 0.250, 0.250), Cu at (0.000, 0.000, 0.500) and Re at (0.250, 0.250, 0.750).

5.
Gd2MgOs | PBE-GGA | optimized geometry

The value obtained for the total energy is -5.677 eV/atom. The calculation puts the total magnetization at 0.0 μB/f.u.

The space group is P4/mmm (No. 123) and the conventional cell measures 3.416, 3.416 and 8.564 Å, with angles of 90.00, 90.00 and 90.00 degrees. The inequivalent atoms are Gd at (0.000, 0.000, 0.197), Mg at (0.500, 0.500, 0.500) and Os at (0.500, 0.500, 0.000).

6.
TmCoC2 | PBE-GGA | optimized geometry

The value obtained for the total energy is -7.871 eV/atom. The calculation puts the total magnetization at 0.0 μB/f.u.

The space group is Amm2 (No. 38) and the conventional cell measures 3.477, 4.491 and 5.945 Å, with angles of 90.00, 90.00 and 90.00 degrees. The inequivalent atoms are Tm at (0.000, 0.000, 0.000), Co at (0.500, 0.000, 0.382) and C at (0.500, 0.153, 0.694).

7.
LiZrIr2 | PBE-GGA | optimized geometry

The value obtained for the total energy is -7.577 eV/atom. The value obtained for the energy above the most stable polymorph in this dataset is 35 meV per atom. The calculation puts the total magnetization at 0.0 μB/f.u.

The space group is P4/mmm (No. 123) and the conventional cell measures 4.111, 4.111 and 3.658 Å, with angles of 90.00, 90.00 and 90.00 degrees. The inequivalent atoms are Li at (0.000, 0.000, 0.000), Zr at (0.500, 0.500, 0.000) and Ir at (0.000, 0.500, 0.500).

8.
HfZr3P4 | PBE-GGA | optimized geometry

The value obtained for the total energy is -8.516 eV/atom. The calculation puts the total magnetization at 0.0 μB/f.u.

The space group is P3m1 (No. 156) and the conventional cell measures 3.6947, 3.6947 and 12.5501 Å, with angles of 90.00, 90.00 and 120.00 degrees. The inequivalent atoms are Hf at (0.0000, 0.0000, 0.0000), Zr at (0.0000, 0.0000, 0.2667), Zr at (0.3333, 0.6667, 0.4990), Zr at (0.3333, 0.6667, 0.7683), P at (0.0000, 0.0000, 0.6337), P at (0.3333, 0.6667, 0.1303), P at (0.6667, 0.3333, 0.3830) and P at (0.6667, 0.3333, 0.8861).

9.
LiTcO4 | PBE-GGA | optimized geometry

The value obtained for the total energy is -6.801 eV/atom. The value obtained for the energy above the most stable polymorph in this dataset is 134 meV per atom. The calculation puts the total magnetization at 0.0 μB/f.u.

The space group is P2/c (No. 13) and the conventional cell measures 4.493, 3.339 and 8.973 Å, with angles of 90.00, 95.70 and 90.00 degrees. The inequivalent atoms are Li at (0.000, 0.000, 0.000), Tc at (0.500, 0.321, 0.250), O at (0.233, 0.467, 0.616) and O at (0.292, 0.009, 0.354).

10.
Ho2TmO3 | PBE-GGA | optimized geometry

The value obtained for the total energy is -7.537 eV/atom. The calculation puts the total magnetization at 0.0 μB/f.u.

The space group is P-3m1 (No. 164) and the conventional cell measures 3.3573, 3.3573 and 8.2237 Å, with angles of 90.00, 90.00 and 120.00 degrees. The inequivalent atoms are Ho at (0.3333, 0.6667, 0.1671), Tm at (0.0000, 0.0000, 0.5000), O at (0.0000, 0.0000, 0.0000) and O at (0.3333, 0.6667, 0.6565).

11.
K3ZrSb2 | PBE-GGA | optimized geometry

The value obtained for the total energy is -3.811 eV/atom. The calculation puts the total magnetization at 1.0 μB/f.u.

The space group is Ibam (No. 72) and the conventional cell measures 8.397, 16.169 and 7.116 Å, with angles of 90.00, 90.00 and 90.00 degrees. The inequivalent atoms are K at (0.000, 0.000, 0.250), K at (0.198, 0.315, 0.000), Zr at (0.000, 0.500, 0.250) and Sb at (0.194, 0.399, 0.500).

12.
KTbInSe3 | PBE-GGA | optimized geometry

The value obtained for the total energy is -4.312 eV/atom. The calculation puts the total magnetization at 0.0 μB/f.u.

The space group is Cmcm (No. 63) and the conventional cell measures 4.242, 15.785 and 11.703 Å, with angles of 90.00, 90.00 and 90.00 degrees. The inequivalent atoms are K at (0.000, 0.206, 0.250), Tb at (0.000, 0.500, 0.000), In at (0.000, 0.088, 0.750), Se at (0.000, 0.125, 0.518) and Se at (0.000, 0.472, 0.750).

> Which formula does entry 7 have?

LiZrIr2